{
  "formula": "Pm8BTe4Se3",
  "functional": "PBE",
  "state": "optimized geometry",
  "cell": [[-3.827, 6.208, 4.399], [-4.700, 2.107, -7.063], [-0.207, -8.012, 2.883]],
  "species": ["Pm", "Pm", "Pm", "Pm", "Pm", "Pm", "Pm", "Pm", "Te", "Te", "Te", "Te", "Se", "Se", "Se", "B"],
  "frac_coords": [[0.776, 0.290, 0.553], [0.259, 0.278, 0.518], [0.237, 0.290, 0.013], [0.763, 0.710, 0.987], [0.224, 0.710, 0.447], [0.224, 0.710, 0.987], [0.741, 0.722, 0.482], [0.776, 0.290, 0.013], [0.000, 0.000, 0.000], [0.500, 0.000, 0.500], [0.000, 0.000, 0.500], [0.500, 0.000, 0.000], [0.000, 0.500, 0.500], [0.500, 0.500, 0.000], [0.500, 0.500, 0.500], [0.000, 0.500, 0.000]],
  "density_g_cm3": 7.0,
  "n_ef_per_ev_atom": 0.43,
  "e_tot_ev_per_atom": -5.69,
  "spacegroup": "R-3m, No. 166",
  "raw_formation_energy_ev_per_atom": -1.46
}